Here is an optimized crystal structure of Ni2HgTe from the Alexandria database. Energies are from PBE.

Structure (POSCAR):
```
Ni2HgTe
1.0
6.574 0.000 0.000
0.000 6.574 0.000
0.000 0.000 6.574
Ni Hg Te
8 4 4
direct
0.000 0.000 0.000
0.000 0.500 0.500
0.250 0.250 0.250
0.250 0.750 0.750
0.500 0.000 0.500
0.500 0.500 0.000
0.750 0.250 0.750
0.750 0.750 0.250
0.250 0.250 0.750
0.250 0.750 0.250
0.750 0.250 0.250
0.750 0.750 0.750
0.000 0.000 0.500
0.000 0.500 0.000
0.500 0.000 0.000
0.500 0.500 0.500
```

Symmetry: F-43m, No. 216



Here is an optimized crystal structure of Ni2HgTe from the Alexandria database. Energies are from PBE.

Structure (POSCAR):
```
Ni2HgTe
1.0
3.299 0.000 0.000
0.000 3.299 0.000
0.000 0.000 7.046
Ni Hg Te
2 1 1
direct
0.000 0.000 0.000
0.500 0.500 0.190
0.500 0.500 0.801
0.000 0.000 0.353
```

Symmetry: P4mm, No. 99



Number 1: energy above the lowest structure with this stoichiometry 45.02 kJ/mol of atoms, VASP energy -50.8 eV for the cell shown, raw formation energy 55.5 kJ/mol of atoms. Number 2: energy above the lowest structure with this stoichiometry 0.00 kJ/mol of atoms, VASP energy -14.6 eV for the cell shown, raw formation energy 10.5 kJ/mol of atoms.